Entry 1:
5
Lattice="2.0489 -6.9891 0.0000 2.0489 6.9891 0.0000 0.0000 0.0000 4.1281" Properties=species:S:1:pos:R:3 comment="Tb2Ga2Sn, optimized geometry, DFT PBE" spacegroup="No. 65" formation_enthalpy_0k_ev_per_fu=-3.2 polymorph_energy_ev_per_fu=0.00 pbc="T T T"
Tb 2.0489 5.1622 0.0000
Tb 2.0489 -5.1622 0.0000
Ga 2.0489 2.8071 2.0640
Ga 2.0489 -2.8071 2.0640
Sn 2.0489 0.0000 2.0640

Entry 2:
12
Lattice="3.0875 -6.1861 0.0000 3.0875 6.1861 0.0000 0.0000 0.0000 5.8705" Properties=species:S:1:pos:R:3 comment="TbAl3CuAu, optimized geometry, DFT PBE" spacegroup="No. 63" formation_enthalpy_0k_ev_per_fu=-1.9 pbc="T T T"
Tb 3.0875 3.5720 4.4029
Tb 3.0875 -3.5720 1.4676
Al 1.3149 0.0000 0.0000
Al 1.3149 0.0000 2.9352
Al 3.0875 1.6930 1.4676
Al 3.0875 -1.6930 4.4029
Al 4.8601 0.0000 0.0000
Al 4.8601 0.0000 2.9352
Cu 3.0875 0.8832 4.4029
Cu 3.0875 -0.8832 1.4676
Au 3.0875 4.2793 1.4676
Au 3.0875 -4.2793 4.4029

Entry 3:
4
Lattice="-1.5884 2.1037 7.2231 1.5884 -2.1037 7.2231 1.5884 2.1037 -7.2231" Properties=species:S:1:pos:R:3 comment="ReTcBr2, optimized geometry, DFT PBE" spacegroup="No. 71" polymorph_energy_ev_per_fu=2.36 raw_formation_energy_mev_per_atom=786 pbc="T T T"
Re 0.0000 0.0000 0.0000
Tc 0.0000 0.0000 7.2231
Br 1.5884 0.0000 2.0815
Br 0.0000 2.1037 5.1416

Entry 4:
5
Lattice="4.0196 0.0000 0.0000 0.0000 4.0196 0.0000 0.0000 0.0000 5.1198" Properties=species:S:1:pos:R:3 comment="TePdSN2, optimized geometry, DFT PBE" spacegroup="No. 123" polymorph_energy_ev_per_fu=0.25 raw_formation_energy_mev_per_atom=1426 pbc="T T T"
Te 0.0000 0.0000 0.0000
Pd 2.0098 2.0098 2.5599
S 2.0098 2.0098 0.0000
N 0.0000 2.0098 2.5599
N 2.0098 0.0000 2.5599

Entry 5:
19
Lattice="5.3056 -4.4929 0.0000 5.3056 4.4929 0.0000 -1.4932 0.0000 6.8672" Properties=species:S:1:pos:R:3 comment="Zn5Ga2Ag12, optimized geometry, DFT PBE" spacegroup="No. 12" formation_enthalpy_0k_ev_per_fu=0.1 polymorph_energy_ev_per_fu=0.00 pbc="T T T"
Zn 0.0000 0.0000 0.0000
Zn 2.5902 0.0000 0.1746
Zn 3.3563 0.0000 2.7459
Zn 5.7616 0.0000 4.1213
Zn 6.5277 0.0000 6.6926
Ga 4.5590 2.2933 3.4336
Ga 4.5590 -2.2933 3.4336
Ag 2.3135 2.6584 4.7980
Ag 4.0400 2.2418 0.7741
Ag 0.6830 0.0000 4.2545
Ag 5.0780 2.2418 6.0931
Ag 6.8045 2.6584 2.0692
Ag 3.3252 0.0000 5.5052
Ag 5.7928 0.0000 1.3620
Ag 2.3135 -2.6584 4.7980
Ag 4.0400 -2.2418 0.7741
Ag 8.4349 0.0000 2.6127
Ag 5.0780 -2.2418 6.0931
Ag 6.8045 -2.6584 2.0692

Entry 6:
8
Lattice="7.2071 0.0000 0.0000 0.0000 4.1646 0.0000 -2.3991 0.0000 6.7962" Properties=species:S:1:pos:R:3 comment="PrNd2SmP4, optimized geometry, DFT PBE" spacegroup="No. 10" formation_enthalpy_0k_ev_per_fu=-12.3 pbc="T T T"
Pr 0.0000 0.0000 0.0000
Nd -1.1996 2.0823 3.3981
Nd 2.4040 0.0000 3.3981
Sm 3.6035 2.0823 0.0000
P 0.0204 0.0000 5.1081
P 1.2204 2.0823 1.7004
P 4.7875 0.0000 1.6881
P 3.5875 2.0823 5.0958

Entry 7:
4
Lattice="-2.1349 2.1349 4.0084 2.1349 -2.1349 4.0084 2.1349 2.1349 -4.0084" Properties=species:S:1:pos:R:3 comment="Hg2PtW, optimized geometry, DFT PBE" spacegroup="No. 119" formation_enthalpy_0k_ev_per_fu=2.7 polymorph_energy_ev_per_fu=1.92 pbc="T T T"
Hg 0.0000 0.0000 0.0000
Hg 0.0000 2.1349 2.0042
Pt 2.1349 0.0000 2.0042
W 0.0000 0.0000 4.0084

Entry 8:
4
Lattice="2.2866 1.3202 4.8955 -2.2866 1.3202 4.8955 0.0000 -2.6403 4.8955" Properties=species:S:1:pos:R:3 comment="HoTcSn2, optimized geometry, DFT PBE" spacegroup="No. 166" formation_enthalpy_0k_ev_per_fu=-0.9 pbc="T T T"
Ho 0.0000 0.0000 0.0000
Tc 0.0000 0.0000 7.3433
Sn 0.0000 0.0000 3.3516
Sn 0.0000 0.0000 11.3350

Entry 9:
5
Lattice="5.5793 0.0000 0.0000 0.0000 5.5793 0.0000 0.0000 0.0000 4.9665" Properties=species:S:1:pos:R:3 comment="BaCuSbTe2, optimized geometry, DFT PBE" spacegroup="No. 123" raw_formation_energy_mev_per_atom=-450 pbc="T T T"
Ba 0.0000 0.0000 0.0000
Cu 2.7896 2.7896 2.4833
Sb 2.7896 2.7896 0.0000
Te 0.0000 2.7896 2.4833
Te 2.7896 0.0000 2.4833

Entry 10:
14
Lattice="9.5531 0.0000 0.0000 -4.7766 8.2732 0.0000 0.0000 0.0000 5.6635" Properties=species:S:1:pos:R:3 comment="PmDy3Ho3, optimized geometry, DFT PBE" spacegroup="No. 176" formation_enthalpy_0k_ev_per_fu=0.1 polymorph_energy_ev_per_fu=0.00 pbc="T T T"
Pm 0.0000 5.5155 1.4159
Pm 4.7766 2.7577 4.2476
Dy -3.4111 6.7108 1.4159
Dy 0.6704 1.9638 1.4159
Dy 2.0359 0.4013 4.2476
Dy 2.7407 7.8720 1.4159
Dy 4.1061 6.3095 4.2476
Dy 8.1877 1.5625 4.2476
Ho -2.0435 5.1214 4.2476
Ho 1.3631 3.9428 4.2476
Ho 4.0961 0.7910 1.4159
Ho 0.6805 7.4823 4.2476
Ho 3.4135 4.3305 1.4159
Ho 6.8201 3.1518 1.4159

Entry 11:
5
Lattice="5.5469 0.0000 0.0000 0.0000 5.5469 0.0000 0.0000 0.0000 4.7356" Properties=species:S:1:pos:R:3 comment="Sr2ScVOs, optimized geometry, DFT PBE" spacegroup="No. 123" formation_enthalpy_0k_ev_per_fu=8.0 pbc="T T T"
Sr 0.0000 2.7735 0.0000
Sr 2.7735 0.0000 0.0000
Sc 0.0000 0.0000 2.3678
V 0.0000 0.0000 0.0000
Os 2.7735 2.7735 2.3678

Entry 12:
18
Lattice="2.7731 -10.9404 0.0000 2.7731 10.9404 0.0000 0.0000 0.0000 10.6869" Properties=species:S:1:pos:R:3 comment="La5Tb2PrY, optimized geometry, DFT PBE" spacegroup="No. 63" formation_enthalpy_0k_ev_per_fu=1.1 pbc="T T T"
La 0.0000 0.0000 0.0000
La 0.0000 0.0000 5.3435
La 2.7731 8.2680 8.0152
La 2.7731 6.0990 0.6296
La 2.7731 6.0990 4.7139
La 2.7731 -0.0030 2.6717
La 2.7731 0.0030 8.0152
La 2.7731 -6.0990 5.9730
La 2.7731 -6.0990 10.0573
La 2.7731 -8.2680 2.6717
Tb 2.7731 2.4650 10.6837
Tb 2.7731 2.4650 5.3467
Tb 2.7731 -2.4650 0.0032
Tb 2.7731 -2.4650 5.3403
Pr 2.7731 4.7007 8.0152
Pr 2.7731 -4.7007 2.6717
Y 2.7731 8.7415 2.6717
Y 2.7731 -8.7415 8.0152

Number 1: E -22.49 eV per cell. Number 2: E -50.21 eV per cell. Number 3: E -23.02 eV per cell. Number 4: E -21.98 eV per cell. Number 5: E -46.56 eV per cell. Number 6: E -52.99 eV per cell. Number 7: E -16.86 eV per cell. Number 8: E -23.81 eV per cell. Number 9: E -18.67 eV per cell. Number 10: E -64.43 eV per cell. Number 11: E -22.02 eV per cell. Number 12: E -88.04 eV per cell.